# 1
{"formula": "Pr2Er5Tm5", "functional": "PBE", "state": "relaxed", "lattice_angstrom": [[4.885, 0.000, 1.044], [2.153, 7.373, 1.877], [0.294, 0.618, 10.574]], "species": ["Er", "Tm", "Tm", "Pr", "Tm", "Er", "Er", "Er", "Pr", "Er", "Tm", "Tm"], "fractional_positions": [[0.334, 0.332, 0.000], [0.168, 0.164, 0.500], [0.000, 0.000, 0.000], [0.917, 0.417, 0.749], [0.832, 0.836, 0.500], [0.415, 0.920, 0.250], [0.585, 0.080, 0.750], [0.500, 0.500, 0.500], [0.083, 0.583, 0.251], [0.666, 0.668, 0.000], [0.248, 0.753, 0.751], [0.752, 0.247, 0.249]], "e_tot_ev_per_fu": -54.40, "crystal_system": "monoclinic", "spacegroup": "C2/m, No. 12", "magnetic_moment_mub_per_fu": 0.00}


# 2
{"formula": "Pr4ErTm3", "functional": "PBE", "state": "relaxed", "lattice_angstrom": [[6.291, 0.000, 0.000], [0.000, 7.340, 0.000], [0.000, 0.000, 11.571]], "species": ["Pr", "Tm", "Tm", "Pr", "Tm", "Er", "Tm", "Pr", "Pr", "Tm", "Pr", "Pr", "Pr", "Pr", "Er", "Tm"], "fractional_positions": [[0.485, 0.870, 0.752], [0.481, 0.382, 0.250], [0.981, 0.618, 0.750], [0.641, 0.130, 0.500], [0.481, 0.382, 0.750], [0.149, 0.380, 0.000], [0.147, 0.383, 0.500], [0.485, 0.870, 0.248], [0.147, 0.869, 0.500], [0.981, 0.618, 0.250], [0.141, 0.870, 0.000], [0.985, 0.130, 0.252], [0.647, 0.131, 0.000], [0.985, 0.130, 0.748], [0.649, 0.620, 0.500], [0.647, 0.617, 0.000]], "e_tot_ev_per_fu": -36.84, "crystal_system": "orthorhombic", "spacegroup": "Pmn2_1, No. 31", "magnetic_moment_mub_per_fu": 0.00}


# 3
{"formula": "Pr4Er4Tm", "functional": "PBE", "state": "relaxed", "lattice_angstrom": [[5.061, 0.000, 0.000], [2.530, 7.645, 0.000], [2.530, 0.000, 7.645]], "species": ["Er", "Pr", "Tm", "Pr", "Pr", "Er", "Pr", "Er", "Er"], "fractional_positions": [[0.664, 0.336, 0.336], [0.666, 0.000, 0.667], [0.000, 0.000, 0.000], [0.334, 0.000, 0.333], [0.334, 0.333, 0.000], [0.000, 0.664, 0.336], [0.666, 0.667, 0.000], [0.336, 0.664, 0.664], [0.000, 0.336, 0.664]], "e_tot_ev_per_fu": -41.64, "crystal_system": "tetragonal", "spacegroup": "I4/mmm, No. 139", "magnetic_moment_mub_per_fu": 0.00}


Number 1: formation energy 0.33 eV/f.u., D(E_F) 17.58 states/eV/cell. Number 2: formation energy 0.25 eV/f.u., D(E_F) 29.61 states/eV/cell. Number 3: formation energy 0.20 eV/f.u., D(E_F) 13.02 states/eV/cell.